No. 1
First-principles (SCAN) data for a crystal of Sr2TlPb relaxed with PBEsol, as listed in Alexandria via LeMat-Bulk. Values from VASP.

Cell and atoms, written as Quantum ESPRESSO input:
```
&SYSTEM
  ibrav = 0, nat = 4, ntyp = 3
/
ATOMIC_SPECIES
Sr 87.62 Sr.upf
Tl 204.38 Tl.upf
Pb 207.20 Pb.upf
CELL_PARAMETERS angstrom
3.9641 0.0000 0.0000
1.9821 3.4330 0.0000
1.9821 1.1443 10.2887
ATOMIC_POSITIONS angstrom
Sr 1.9821 1.1443 2.5828
Tl 3.9641 2.2887 5.1443
Sr 5.9462 3.4330 7.7058
Pb 0.0000 0.0000 0.0000
```

Output
ΔE_f: -42 kJ per mole of atoms
Raw total energy: -48.612 eV/atom
Space group: R-3m
Crystal system: trigonal
ρ: 6.96 g/cm³

---

No. 2
First-principles (SCAN) data for a crystal of TaHgP2 relaxed with PBEsol, as listed in Alexandria via LeMat-Bulk. Values from VASP.

Cell and atoms, written as Quantum ESPRESSO input:
```
&SYSTEM
  ibrav = 0, nat = 4, ntyp = 3
/
ATOMIC_SPECIES
Ta 180.95 Ta.upf
Hg 200.59 Hg.upf
P 30.97 P.upf
CELL_PARAMETERS angstrom
-0.4303 0.2502 2.8771
2.2433 -0.3060 1.8437
2.3846 9.5987 1.0034
ATOMIC_POSITIONS angstrom
Ta 2.1166 4.8676 2.8564
Hg 1.0623 2.4551 1.4269
P 1.8455 0.1197 4.7104
P 3.0851 6.8163 4.3134
```

Output
ΔE_f: 52 kJ per mole of atoms
Raw total energy: -38.349 eV/atom
Space group: R3m
Crystal system: trigonal
ρ: 10.18 g/cm³

---

No. 3
First-principles (SCAN) data for a crystal of Ba2HfRe relaxed with PBEsol, as listed in Alexandria via LeMat-Bulk. Values from VASP.

Cell and atoms, written as Quantum ESPRESSO input:
```
&SYSTEM
  ibrav = 0, nat = 4, ntyp = 3
/
ATOMIC_SPECIES
Ba 137.33 Ba.upf
Re 186.21 Re.upf
Hf 178.49 Hf.upf
CELL_PARAMETERS angstrom
5.3056 0.0000 0.0000
2.6528 4.5948 0.0000
2.6528 1.5316 4.3320
ATOMIC_POSITIONS angstrom
Ba 2.6528 1.5316 1.0830
Re 5.3056 3.0632 2.1660
Hf 0.0000 0.0000 0.0000
Ba 7.9584 4.5948 3.2490
```

Output
ΔE_f: 157 kJ per mole of atoms
Raw total energy: -51.592 eV/atom
Space group: Fm-3m
Crystal system: cubic
ρ: 10.05 g/cm³

---

No. 4
First-principles (SCAN) data for a crystal of SiSb2Pt relaxed with PBEsol, as listed in Alexandria via LeMat-Bulk. Values from VASP.

Cell and atoms, written as Quantum ESPRESSO input:
```
&SYSTEM
  ibrav = 0, nat = 4, ntyp = 3
/
ATOMIC_SPECIES
Sb 121.76 Sb.upf
Si 28.09 Si.upf
Pt 195.08 Pt.upf
CELL_PARAMETERS angstrom
-1.8792 1.7061 -2.9598
-3.2741 -1.5853 -1.4032
-5.1454 3.4522 2.6887
ATOMIC_POSITIONS angstrom
Sb -7.6847 2.6405 -1.3033
Si 0.0000 0.0000 0.0000
Sb -2.6141 0.9324 -0.3710
Pt -5.1494 1.7865 -0.8371
```

Output
Raw total energy: -38.722 eV/atom
Space group: R-3m
Uncorrected formation energy: -0.0393 eV per atom
Crystal system: trigonal
ρ: 9.24 g/cm³